Record 1
{"formula": "Mn2BeIr", "functional": "PBE-GGA", "state": "optimized geometry", "lattice": [[2.637, 0.000, 0.000], [0.000, 2.637, 0.000], [0.000, 0.000, 6.491]], "species": ["Mn", "Mn", "Ir", "Be"], "fractional_positions": [[0.000, 0.000, 0.030], [0.000, 0.000, 0.470], [0.500, 0.500, 0.750], [0.500, 0.500, 0.250]], "formation_energy_mev_per_atom": -83}

=====

Record 2
{"formula": "CaIn2F5", "functional": "PBE-GGA", "state": "optimized geometry", "lattice": [[6.159, 0.000, 0.000], [0.000, 8.268, 0.000], [0.000, 0.000, 12.050]], "species": ["F", "F", "F", "F", "F", "F", "F", "F", "F", "F", "F", "F", "F", "F", "F", "F", "F", "F", "F", "F", "Ca", "Ca", "Ca", "Ca", "In", "In", "In", "In", "In", "In", "In", "In"], "fractional_positions": [[0.171, 0.325, 0.707], [0.750, 0.500, 0.069], [0.554, 0.152, 0.057], [0.829, 0.825, 0.793], [0.946, 0.652, 0.557], [0.671, 0.175, 0.793], [0.054, 0.152, 0.943], [0.750, 0.000, 0.569], [0.329, 0.675, 0.707], [0.054, 0.348, 0.443], [0.829, 0.675, 0.293], [0.329, 0.825, 0.207], [0.171, 0.175, 0.207], [0.671, 0.325, 0.293], [0.946, 0.848, 0.057], [0.250, 0.000, 0.431], [0.250, 0.500, 0.931], [0.446, 0.848, 0.943], [0.446, 0.652, 0.443], [0.554, 0.348, 0.557], [0.250, 0.000, 0.068], [0.750, 0.000, 0.932], [0.250, 0.500, 0.568], [0.750, 0.500, 0.432], [0.955, 0.109, 0.350], [0.045, 0.891, 0.650], [0.045, 0.609, 0.150], [0.545, 0.891, 0.350], [0.455, 0.391, 0.150], [0.545, 0.609, 0.850], [0.955, 0.391, 0.850], [0.455, 0.109, 0.650]], "e_form_raw_kj_per_mol_atoms": -254}

=====

Record 3
{"formula": "ErPuNiPt", "functional": "PBE-GGA", "state": "optimized geometry", "lattice": [[4.862, 0.000, 0.000], [2.431, 4.211, 0.000], [2.431, 1.404, 3.970]], "species": ["Pt", "Pu", "Er", "Ni"], "fractional_positions": [[0.250, 0.250, 0.250], [0.000, 0.000, 0.000], [0.500, 0.500, 0.500], [0.750, 0.750, 0.750]], "formation_energy_mev_per_atom": -572}

=====

Record 4
{"formula": "AgMo2Cl", "functional": "PBE-GGA", "state": "optimized geometry", "lattice": [[-0.415, 1.298, -2.783], [-1.644, -2.466, -0.905], [-6.579, 3.438, 2.585]], "species": ["Ag", "Mo", "Mo", "Cl"], "fractional_positions": [[0.000, 0.000, 0.468], [0.500, 0.500, 0.207], [0.000, 0.000, 0.031], [0.500, 0.500, 0.794]], "e_form_raw_kj_per_mol_atoms": 33}

=====

Record 5
{"formula": "Zr2HgHPd", "functional": "PBE-GGA", "state": "optimized geometry", "lattice": [[4.420, 0.000, 0.000], [0.000, 4.420, 0.000], [0.000, 0.000, 4.183]], "species": ["H", "Hg", "Pd", "Zr", "Zr"], "fractional_positions": [[0.000, 0.000, 0.000], [0.500, 0.500, 0.500], [0.000, 0.000, 0.500], [0.000, 0.500, 0.000], [0.500, 0.000, 0.000]], "final_energy_ev_per_fu": -27.777}

=====

Record 6
{"formula": "Pm5Pr12Th2", "functional": "PBE-GGA", "state": "optimized geometry", "lattice": [[-4.343, -0.980, 5.629], [-4.612, -6.038, -4.610], [10.738, -4.512, 2.923]], "species": ["Pr", "Pr", "Pr", "Pr", "Pr", "Pr", "Pr", "Pr", "Pr", "Pr", "Pr", "Pr", "Pm", "Pm", "Pm", "Pm", "Pm", "Th", "Th"], "fractional_positions": [[0.865, 0.961, 0.730], [0.544, 0.206, 0.595], [0.546, 0.704, 0.093], [0.051, 0.206, 0.595], [0.456, 0.794, 0.405], [0.640, 0.614, 0.787], [0.360, 0.386, 0.213], [0.454, 0.296, 0.907], [0.147, 0.614, 0.787], [0.949, 0.794, 0.405], [0.853, 0.386, 0.213], [0.135, 0.039, 0.270], [0.648, 0.096, 0.297], [0.352, 0.904, 0.703], [0.000, 0.500, 0.000], [0.249, 0.491, 0.497], [0.751, 0.509, 0.503], [0.251, 0.000, 0.000], [0.749, 0.000, 0.000]], "formation_energy_mev_per_atom": 147}

=====

Record 7
{"formula": "Pm2Ho3In4", "functional": "PBE-GGA", "state": "optimized geometry", "lattice": [[7.040, 0.000, 0.000], [0.000, 9.045, 0.000], [-3.520, 0.000, 8.363]], "species": ["Ho", "Ho", "Ho", "Ho", "Ho", "Ho", "In", "In", "In", "In", "In", "In", "In", "In", "Pm", "Pm", "Pm", "Pm"], "fractional_positions": [[0.969, 0.250, 0.438], [0.469, 0.250, 0.438], [0.000, 0.000, 0.000], [0.031, 0.750, 0.562], [0.500, 0.500, 0.000], [0.531, 0.750, 0.562], [0.318, 0.460, 0.635], [0.818, 0.040, 0.635], [0.287, 0.250, 0.073], [0.713, 0.750, 0.927], [0.682, 0.540, 0.365], [0.182, 0.960, 0.365], [0.787, 0.250, 0.073], [0.213, 0.750, 0.927], [0.108, 0.578, 0.217], [0.608, 0.922, 0.217], [0.392, 0.078, 0.783], [0.892, 0.422, 0.783]], "formation_energy_mev_per_atom": -294}

=====

Record 8
{"formula": "NpScGa2", "functional": "PBE-GGA", "state": "optimized geometry", "lattice": [[-3.551, 3.325, 0.449], [-3.490, -0.593, 3.366], [-0.135, 2.915, 3.918]], "species": ["Np", "Ga", "Ga", "Sc"], "fractional_positions": [[0.000, 0.000, 0.000], [0.250, 0.250, 0.250], [0.750, 0.750, 0.750], [0.500, 0.500, 0.500]], "formation_energy_mev_per_atom": -265}

=====

Record 9
{"formula": "CdH2Pt2", "functional": "PBE-GGA", "state": "optimized geometry", "lattice": [[6.981, 0.000, 0.000], [0.000, 6.981, 0.000], [0.000, 0.000, 2.885]], "species": ["Pt", "Pt", "Pt", "Pt", "H", "H", "H", "H", "Cd", "Cd"], "fractional_positions": [[0.864, 0.636, 0.000], [0.636, 0.136, 0.000], [0.364, 0.864, 0.000], [0.136, 0.364, 0.000], [0.770, 0.730, 0.500], [0.270, 0.770, 0.500], [0.230, 0.270, 0.500], [0.730, 0.230, 0.500], [0.000, 0.000, 0.000], [0.500, 0.500, 0.000]], "final_energy_ev_per_fu": -19.076}

=====

Record 10
{"formula": "Er12H5Pd3", "functional": "PBE-GGA", "state": "optimized geometry", "lattice": [[-6.002, 1.323, -11.445], [10.265, -7.843, -1.375], [-8.236, -5.122, 8.643]], "species": ["Er", "Er", "Er", "Er", "Er", "Er", "Er", "Er", "Er", "Er", "Er", "Er", "Er", "Er", "Er", "Er", "Er", "Er", "Er", "Er", "Er", "Er", "Er", "Er", "Er", "Er", "Er", "Er", "Er", "Er", "Er", "Er", "Er", "Er", "Er", "Er", "Er", "Er", "Er", "Er", "Er", "Er", "Er", "Er", "Er", "Er", "Er", "Er", "Pd", "Pd", "Pd", "Pd", "Pd", "Pd", "Pd", "Pd", "Pd", "Pd", "Pd", "Pd", "H", "H", "H", "H", "H", "H", "H", "H", "H", "H", "H", "H", "H", "H", "H", "H", "H", "H", "H", "H"], "fractional_positions": [[0.213, 0.521, 0.616], [0.691, 0.479, 0.595], [0.809, 0.905, 0.021], [0.595, 0.979, 0.691], [0.903, 0.809, 0.787], [0.384, 0.979, 0.787], [0.979, 0.595, 0.191], [0.287, 0.884, 0.979], [0.405, 0.384, 0.597], [0.095, 0.191, 0.479], [0.713, 0.597, 0.191], [0.021, 0.616, 0.713], [0.116, 0.713, 0.521], [0.213, 0.691, 0.097], [0.616, 0.021, 0.213], [0.479, 0.787, 0.884], [0.595, 0.616, 0.403], [0.405, 0.021, 0.309], [0.116, 0.403, 0.095], [0.616, 0.595, 0.903], [0.191, 0.095, 0.979], [0.713, 0.116, 0.021], [0.884, 0.287, 0.479], [0.384, 0.405, 0.097], [0.309, 0.521, 0.405], [0.691, 0.213, 0.597], [0.403, 0.116, 0.595], [0.979, 0.384, 0.287], [0.597, 0.884, 0.405], [0.809, 0.903, 0.287], [0.191, 0.097, 0.713], [0.095, 0.903, 0.116], [0.905, 0.097, 0.884], [0.021, 0.405, 0.809], [0.309, 0.787, 0.403], [0.787, 0.309, 0.903], [0.903, 0.095, 0.616], [0.597, 0.713, 0.691], [0.884, 0.597, 0.905], [0.905, 0.809, 0.521], [0.403, 0.287, 0.309], [0.479, 0.691, 0.095], [0.097, 0.905, 0.384], [0.287, 0.403, 0.809], [0.521, 0.309, 0.905], [0.521, 0.213, 0.116], [0.787, 0.479, 0.384], [0.097, 0.191, 0.213], [0.125, 0.250, 0.875], [0.125, 0.875, 0.750], [0.375, 0.625, 0.250], [0.250, 0.125, 0.375], [0.250, 0.625, 0.875], [0.750, 0.875, 0.625], [0.875, 0.125, 0.250], [0.625, 0.250, 0.375], [0.625, 0.375, 0.750], [0.875, 0.750, 0.125], [0.375, 0.750, 0.625], [0.750, 0.375, 0.125], [0.375, 0.250, 0.125], [0.625, 0.750, 0.875], [0.500, 0.000, 0.000], [0.125, 0.750, 0.375], [0.500, 0.500, 0.500], [0.750, 0.625, 0.375], [0.000, 0.000, 0.000], [0.375, 0.125, 0.750], [0.500, 0.500, 0.000], [0.875, 0.625, 0.750], [0.125, 0.375, 0.250], [0.000, 0.500, 0.000], [0.250, 0.375, 0.625], [0.750, 0.125, 0.875], [0.000, 0.000, 0.500], [0.875, 0.250, 0.625], [0.500, 0.000, 0.500], [0.000, 0.500, 0.500], [0.250, 0.875, 0.125], [0.625, 0.875, 0.250]], "final_energy_ev_per_fu": -95.584}

=====

Record 11
{"formula": "Re3SiRh", "functional": "PBE-GGA", "state": "optimized geometry", "lattice": [[-1.135, 3.637, 2.125], [-2.583, -2.340, 2.624], [3.327, -0.576, 2.763]], "species": ["Re", "Re", "Re", "Si", "Rh"], "fractional_positions": [[0.000, 0.500, 0.000], [0.500, 0.000, 0.000], [0.000, 0.000, 0.500], [0.000, 0.000, 0.000], [0.500, 0.500, 0.500]], "e_form_raw_kj_per_mol_atoms": 124}

=====

Record 12
{"formula": "InGa3Re", "functional": "PBE-GGA", "state": "optimized geometry", "lattice": [[4.913, 0.000, 0.000], [0.000, 4.913, 0.000], [0.000, 0.000, 4.913]], "species": ["Re", "Ga", "Ga", "Ga", "In"], "fractional_positions": [[0.000, 0.000, 0.000], [0.000, 0.000, 0.500], [0.500, 0.000, 0.000], [0.000, 0.500, 0.000], [0.500, 0.500, 0.500]], "formation_energy_mev_per_atom": 192}

=====

Number 1: M_tot 0.68 μB per atom. Number 2: M_tot 0.00 μB per atom. Number 3: M_tot 1.37 μB per atom. Number 4: M_tot 0.00 μB per atom. Number 5: M_tot 0.03 μB per atom. Number 6: M_tot 0.00 μB per atom. Number 7: M_tot 0.00 μB per atom. Number 8: M_tot 1.06 μB per atom. Number 9: M_tot 0.00 μB per atom. Number 10: M_tot 0.00 μB per atom. Number 11: M_tot 0.00 μB per atom. Number 12: M_tot 0.00 μB per atom.